Zr3Bi2H2 | PBE | relaxed

Summary:
Its density of states at the Fermi level is 2.7 states/eV/cell. As for the total energy: -6.142 eV per atom. The space-group type is Immm, No. 71.

The structure in POSCAR format:
```
Zr3Bi2H2
1.0
-1.920 2.036 8.287
1.920 -2.036 8.287
1.920 2.036 -8.287
Zr Bi H
3 2 2
direct
0.000 0.000 0.000
0.392 0.392 0.000
0.608 0.608 0.000
0.185 0.185 0.000
0.815 0.815 0.000
0.246 0.500 0.746
0.754 0.500 0.254
```

ZrBi2H | PBE | relaxed

Summary:
Its density of states at the Fermi level is 1.9 states/eV/cell. As for the total energy: -5.235 eV per atom. The space-group type is Cm, No. 8. For the energy above the most stable polymorph in this dataset, the calculation gives 0.000 eV/f.u.

The structure in POSCAR format:
```
ZrBi2H
1.0
3.014 -1.741 0.000
3.014 1.741 0.000
-2.024 0.000 8.837
Zr Bi H
1 2 1
direct
0.000 0.000 0.000
0.238 0.238 0.717
0.429 0.429 0.284
0.667 0.667 0.002
```